No. 1
This record from Alexandria describes a geometry-optimized Pr6Pd2SI3 structure. The functional is PBE-GGA.

Values from the calculation:
V (Å³/f.u.): 377.7
Formation energy (no corrections) (eV per atom): -1.042
Symmetry: C2/m

abc: 7.4550 7.4550 8.2053
angles: 98.68 98.68 119.72
Element x y z (fractional)
Pr1 0.9349 0.5973 0.8060
Pr2 0.7263 0.7263 0.1938
Pr3 0.0651 0.4027 0.1940
Pr4 0.5973 0.9349 0.8060
Pr5 0.2737 0.2737 0.8062
Pr6 0.4027 0.0651 0.1940
Pd1 0.3332 0.6668 0.0000
Pd2 0.6668 0.3332 0.0000
S1 0.0000 0.0000 0.0000
I1 0.1636 0.8364 0.5000
I2 0.8364 0.1636 0.5000
I3 0.5000 0.5000 0.5000


No. 2
This record from Alexandria describes a geometry-optimized Sr2TiOs structure. The functional is PBE-GGA.

Values from the calculation:
V (Å³/f.u.): 101.4
Formation enthalpy at 0 K (kJ/mol of formula units): 426
Symmetry: Fm-3m

abc: 5.2334 5.2334 5.2334
angles: 60.00 60.00 60.00
Element x y z (fractional)
Sr1 0.2500 0.2500 0.2500
Sr2 0.7500 0.7500 0.7500
Os1 0.5000 0.5000 0.5000
Ti1 0.0000 0.0000 0.0000


> What is the formula in the first record?

Pr6Pd2SI3